Compound: RbY3Nb
Source: Alexandria via LeMat-Bulk
Functional: PBE
Structure: optimized geometry

a = 5.314 Å, b = 5.314 Å, c = 5.314 Å
α = 90.00°, β = 90.00°, γ = 90.00°
Positions (direct):
1 Rb 0.000 0.000 0.000
2 Y 0.000 0.000 0.500
3 Y 0.000 0.500 0.000
4 Y 0.500 0.000 0.000
5 Nb 0.500 0.500 0.500

Computed properties:
Uncorrected energy: -4.33 eV/atom
Energy of formation: 1.759 eV/atom
Offset from the most stable computed form: 1142 meV/atom

=====

Compound: Rb2YNb
Source: Alexandria via LeMat-Bulk
Functional: PBE
Structure: optimized geometry

a = 9.680 Å, b = 9.680 Å, c = 9.680 Å
α = 94.41°, β = 94.41°, γ = 147.80°
Positions (direct):
1 Rb 0.375 0.238 0.363
2 Rb 0.762 0.125 0.137
3 Rb 0.875 0.012 0.637
4 Rb 0.988 0.625 0.863
5 Y 0.250 0.750 0.500
6 Y 0.500 0.500 0.000
7 Nb 0.000 0.000 0.000
8 Nb 0.750 0.250 0.500

Computed properties:
Uncorrected energy: -3.21 eV/atom
Energy of formation: 1.407 eV/atom
Offset from the most stable computed form: 0 meV/atom

=====

Compound: RbY2Nb
Source: Alexandria via LeMat-Bulk
Functional: PBE
Structure: optimized geometry

a = 8.323 Å, b = 8.323 Å, c = 8.323 Å
α = 120.31°, β = 120.31°, γ = 89.46°
Positions (direct):
1 Rb 0.000 0.000 0.000
2 Rb 0.750 0.250 0.500
3 Y 0.374 0.625 0.249
4 Y 0.375 0.624 0.749
5 Y 0.376 0.125 0.751
6 Y 0.875 0.626 0.251
7 Nb 0.250 0.750 0.500
8 Nb 0.500 0.500 0.000

Computed properties:
Uncorrected energy: -4.73 eV/atom
Energy of formation: 1.261 eV/atom
Offset from the most stable computed form: 327 meV/atom

=====

Compound: RbYNb3
Source: Alexandria via LeMat-Bulk
Functional: PBE
Structure: optimized geometry

a = 5.245 Å, b = 5.245 Å, c = 5.245 Å
α = 90.00°, β = 90.00°, γ = 90.00°
Positions (direct):
1 Rb 0.000 0.000 0.000
2 Y 0.500 0.500 0.500
3 Nb 0.000 0.500 0.500
4 Nb 0.500 0.000 0.500
5 Nb 0.500 0.500 0.000

Computed properties:
Uncorrected energy: -5.34 eV/atom
Energy of formation: 2.189 eV/atom
Offset from the most stable computed form: 0 meV/atom

=====

Compound: Rb2YNb
Source: Alexandria via LeMat-Bulk
Functional: PBE
Structure: optimized geometry

a = 6.184 Å, b = 6.184 Å, c = 6.184 Å
α = 60.00°, β = 60.00°, γ = 60.00°
Positions (direct):
1 Rb 0.250 0.250 0.250
2 Rb 0.750 0.750 0.750
3 Y 0.000 0.000 0.000
4 Nb 0.500 0.500 0.500

Computed properties:
Uncorrected energy: -3.00 eV/atom
Energy of formation: 1.614 eV/atom
Offset from the most stable computed form: 207 meV/atom

=====

Compound: RbYNbZn2
Source: Alexandria via LeMat-Bulk
Functional: PBE
Structure: optimized geometry

a = 5.434 Å, b = 5.434 Å, c = 6.108 Å
α = 90.00°, β = 90.00°, γ = 90.00°
Positions (direct):
1 Rb 0.000 0.000 0.000
2 Y 0.000 0.000 0.500
3 Nb 0.500 0.500 0.000
4 Zn 0.000 0.500 0.500
5 Zn 0.500 0.000 0.500

Computed properties:
Uncorrected energy: -2.36 eV/atom
Energy of formation: 1.646 eV/atom

=====

Compound: RbNbZn
Source: Alexandria via LeMat-Bulk
Functional: PBE
Structure: optimized geometry

a = 5.221 Å, b = 5.221 Å, c = 5.221 Å
α = 60.00°, β = 60.00°, γ = 60.00°
Positions (direct):
1 Rb 0.000 0.000 0.000
2 Nb 0.500 0.500 0.500
3 Zn 0.250 0.250 0.250

Computed properties:
Uncorrected energy: -2.58 eV/atom
Energy of formation: 1.519 eV/atom
Offset from the most stable computed form: 1220 meV/atom

=====

Compound: RbNbZn
Source: Alexandria via LeMat-Bulk
Functional: PBE
Structure: optimized geometry

a = 4.403 Å, b = 4.403 Å, c = 12.309 Å
α = 90.00°, β = 90.00°, γ = 120.00°
Positions (direct):
1 Rb 0.000 0.000 0.000
2 Rb 0.000 0.000 0.500
3 Nb 0.333 0.667 0.250
4 Nb 0.667 0.333 0.750
5 Zn 0.333 0.667 0.750
6 Zn 0.667 0.333 0.250

Computed properties:
Uncorrected energy: -2.89 eV/atom
Energy of formation: 1.210 eV/atom
Offset from the most stable computed form: 911 meV/atom

=====

Compound: RbNbZn
Source: Alexandria via LeMat-Bulk
Functional: PBE
Structure: optimized geometry

a = 9.454 Å, b = 3.310 Å, c = 12.048 Å
α = 90.00°, β = 90.00°, γ = 90.00°
Positions (direct):
1 Rb 0.068 0.250 0.170
2 Rb 0.432 0.750 0.670
3 Rb 0.568 0.250 0.330
4 Rb 0.932 0.750 0.830
5 Nb 0.082 0.250 0.547
6 Nb 0.418 0.750 0.047
7 Nb 0.582 0.250 0.953
8 Nb 0.918 0.750 0.453
9 Zn 0.229 0.750 0.405
10 Zn 0.271 0.250 0.905
11 Zn 0.729 0.750 0.095
12 Zn 0.771 0.250 0.595

Computed properties:
Uncorrected energy: -3.46 eV/atom
Energy of formation: 0.640 eV/atom
Offset from the most stable computed form: 340 meV/atom

=====

Compound: RbNbZn
Source: Alexandria via LeMat-Bulk
Functional: PBE
Structure: optimized geometry

a = 7.485 Å, b = 7.485 Å, c = 5.004 Å
α = 90.00°, β = 90.00°, γ = 140.56°
Positions (direct):
1 Rb 0.211 0.789 0.750
2 Rb 0.789 0.211 0.250
3 Nb 0.500 0.500 0.000
4 Nb 0.500 0.500 0.500
5 Zn 0.028 0.972 0.250
6 Zn 0.972 0.028 0.750

Computed properties:
Uncorrected energy: -3.56 eV/atom
Energy of formation: 0.543 eV/atom
Offset from the most stable computed form: 243 meV/atom

=====

Compound: RbNbZn
Source: Alexandria via LeMat-Bulk
Functional: PBE
Structure: optimized geometry

a = 5.003 Å, b = 5.003 Å, c = 8.433 Å
α = 90.00°, β = 90.00°, γ = 90.00°
Positions (direct):
1 Rb 0.250 0.250 0.160
2 Rb 0.750 0.750 0.840
3 Nb 0.250 0.250 0.579
4 Nb 0.750 0.750 0.421
5 Zn 0.250 0.750 0.500
6 Zn 0.750 0.250 0.500

Computed properties:
Uncorrected energy: -3.22 eV/atom
Energy of formation: 0.884 eV/atom
Offset from the most stable computed form: 585 meV/atom

=====

Compound: RbNbZn
Source: Alexandria via LeMat-Bulk
Functional: PBE
Structure: optimized geometry

a = 5.408 Å, b = 5.408 Å, c = 8.122 Å
α = 90.00°, β = 90.00°, γ = 120.00°
Positions (direct):
1 Rb 0.000 0.000 0.000
2 Rb 0.000 0.000 0.500
3 Nb 0.333 0.667 0.135
4 Nb 0.333 0.667 0.865
5 Zn 0.667 0.333 0.163
6 Zn 0.667 0.333 0.837

Computed properties:
Uncorrected energy: -3.09 eV/atom
Energy of formation: 1.011 eV/atom
Offset from the most stable computed form: 711 meV/atom